A plane-wave DFT calculation with PBEsol was carried out for a geometry-optimized Hf2CuTc structure.

energy: -9.471 eV per atom
space group: Fm-3m, No. 225
energy of formation from the pure elements: -0.319 eV per atom

Geometry as POSCAR:
```
Hf2CuTc
1.0
-3.2437 -0.3773 3.1569
-2.8609 -3.5266 -0.0936
0.2834 -3.2390 3.1715
Tc Hf Cu
1 2 1
Cartesian
0.0000 0.0000 0.0000 Tc
-1.4553 -1.7857 1.5587 Hf
-4.3659 -5.3572 4.6761 Hf
-2.9106 -3.5715 3.1174 Cu
```



A plane-wave DFT calculation with PBEsol was carried out for a geometry-optimized HfCu3Te structure.

formation energy from raw total energies: 1254 meV per atom
energy: -4.153 eV per atom
space group: Pm-3m, No. 221

Geometry as POSCAR:
```
HfCu3Te
1.0
-3.4869 -0.9905 3.1317
3.2771 -0.7405 3.4145
-0.2219 4.6279 1.2167
Cu Te Hf
3 1 1
Cartesian
1.6386 -0.3703 1.7073 Cu
-0.1110 2.3139 0.6083 Cu
-1.7434 -0.4953 1.5659 Cu
-0.2158 1.4484 3.8815 Te
0.0000 0.0000 0.0000 Hf
```



A plane-wave DFT calculation with PBEsol was carried out for a geometry-optimized HfCu2Te3 structure.

formation energy from raw total energies: -457 meV per atom
energy: -5.415 eV per atom
space group: C2/m, No. 12

Geometry as POSCAR:
```
HfCu2Te3
1.0
4.0030 0.0000 0.0000
0.0000 7.1650 0.0263
-2.0015 -1.4723 9.9058
Te Hf Cu
6 2 4
Cartesian
0.0000 5.5843 1.6159 Te
0.0000 0.8040 4.9507 Te
2.0015 0.1083 8.3162 Te
0.0000 3.2954 8.2807 Te
2.0015 4.8886 4.9814 Te
2.0015 2.3972 1.6514 Te
0.0000 5.7471 7.0490 Hf
2.0015 -0.0545 2.8830 Hf
2.0015 2.4115 4.2422 Cu
2.0015 4.7776 8.9621 Cu
0.0000 0.9151 0.9700 Cu
0.0000 3.2811 5.6899 Cu
```



Q: Which of these has the lowest energy?
A: Hf2CuTc



Q: Which value of energy does entry 1 give?
A: -9.471 eV per atom